{"formula": "ZrMoC2", "functional": "GGA-PBE", "state": "optimized geometry", "e_tot_ev_per_atom": -9.7175, "m_tot_mub_per_atom": 0.0020, "crystal_system": "tetragonal", "spacegroup": "No. 123", "cell": [[-2.2917, -1.7851, 1.3786], [1.3260, -2.6562, -1.2351], [2.5612, -0.4376, 3.6908]], "species": ["C", "C", "Mo", "Zr"], "fractional_positions": [[0.0000, 0.0000, 0.0000], [0.5000, 0.5000, 0.5000], [0.0000, 0.0000, 0.5000], [0.5000, 0.5000, 0.0000]]}

***

{"formula": "CsSrSmTe3", "functional": "GGA-PBE", "state": "optimized geometry", "e_tot_ev_per_atom": -4.0802, "m_tot_mub_per_atom": 0.0004, "crystal_system": "orthorhombic", "spacegroup": "No. 63", "cell": [[2.4290, -8.8689, 0.0000], [2.4290, 8.8689, 0.0000], [0.0000, 0.0000, 12.8004]], "species": ["Cs", "Cs", "Sm", "Sm", "Sr", "Sr", "Te", "Te", "Te", "Te", "Te", "Te"], "fractional_positions": [[0.7785, 0.2215, 0.2500], [0.2215, 0.7785, 0.7500], [0.5000, 0.5000, 0.0000], [0.5000, 0.5000, 0.5000], [0.0556, 0.9444, 0.2500], [0.9444, 0.0556, 0.7500], [0.1192, 0.8808, 0.0235], [0.4456, 0.5544, 0.2500], [0.1192, 0.8808, 0.4765], [0.8808, 0.1192, 0.5235], [0.5544, 0.4456, 0.7500], [0.8808, 0.1192, 0.9765]]}

***

{"formula": "BaSrCoTe3", "functional": "GGA-PBE", "state": "optimized geometry", "e_tot_ev_per_atom": -4.3938, "m_tot_mub_per_atom": 0.4606, "crystal_system": "orthorhombic", "spacegroup": "No. 62", "cell": [[-0.6663, 4.8249, -8.0003], [-4.0303, -1.9555, -0.8437], [-8.6866, 13.9586, 9.1418]], "species": ["Ba", "Ba", "Ba", "Ba", "Co", "Co", "Co", "Co", "Sr", "Sr", "Sr", "Sr", "Te", "Te", "Te", "Te", "Te", "Te", "Te", "Te", "Te", "Te", "Te", "Te"], "fractional_positions": [[0.7578, 0.2500, 0.0433], [0.2578, 0.2500, 0.4567], [0.7422, 0.7500, 0.5433], [0.2422, 0.7500, 0.9567], [0.1357, 0.2500, 0.1383], [0.6357, 0.2500, 0.3618], [0.3643, 0.7500, 0.6382], [0.8643, 0.7500, 0.8618], [0.4088, 0.7500, 0.2126], [0.9088, 0.7500, 0.2874], [0.0912, 0.2500, 0.7126], [0.5912, 0.2500, 0.7874], [0.3803, 0.2500, 0.0754], [0.0129, 0.7500, 0.1090], [0.6773, 0.2500, 0.2259], [0.1773, 0.2500, 0.2741], [0.5129, 0.7500, 0.3910], [0.8803, 0.2500, 0.4246], [0.1197, 0.7500, 0.5754], [0.4871, 0.2500, 0.6090], [0.8227, 0.7500, 0.7259], [0.3227, 0.7500, 0.7741], [0.9871, 0.2500, 0.8910], [0.6197, 0.7500, 0.9246]]}

***

{"formula": "ZrCo2Sn", "functional": "GGA-PBE", "state": "optimized geometry", "e_tot_ev_per_atom": -7.0054, "m_tot_mub_per_atom": 0.1099, "crystal_system": "hexagonal", "spacegroup": "No. 194", "cell": [[2.1266, -3.6834, 0.0000], [2.1266, 3.6834, 0.0000], [0.0000, 0.0000, 8.1475]], "species": ["Co", "Co", "Co", "Co", "Sn", "Sn", "Zr", "Zr"], "fractional_positions": [[0.6667, 0.3333, 0.0992], [0.6667, 0.3333, 0.4008], [0.3333, 0.6667, 0.5992], [0.3333, 0.6667, 0.9008], [0.0000, 0.0000, 0.0000], [0.0000, 0.0000, 0.5000], [0.3333, 0.6667, 0.2500], [0.6667, 0.3333, 0.7500]]}

***

{"formula": "LiZr2Os", "functional": "GGA-PBE", "state": "optimized geometry", "e_tot_ev_per_atom": -7.8766, "m_tot_mub_per_atom": 0.0003, "crystal_system": "cubic", "de_polymorph_mev_per_atom": 0.0, "spacegroup": "No. 225", "cell": [[-2.0656, -3.9549, -1.3488], [4.1164, -0.4013, -5.1274], [8.9872, -7.3507, 7.7904]], "species": ["Li", "Li", "Li", "Li", "Li", "Li", "Os", "Os", "Os", "Os", "Os", "Os", "Zr", "Zr", "Zr", "Zr", "Zr", "Zr", "Zr", "Zr", "Zr", "Zr", "Zr", "Zr"], "fractional_positions": [[0.0000, 0.5000, 0.0000], [0.4996, 0.0000, 0.1667], [0.9996, 0.5000, 0.3333], [0.5000, 0.0000, 0.5000], [0.0004, 0.5000, 0.6667], [0.5004, 0.0000, 0.8333], [0.0000, 0.0000, 0.0000], [0.4995, 0.5000, 0.1666], [0.9995, 0.0000, 0.3334], [0.5000, 0.5000, 0.5000], [0.0005, 0.0000, 0.6666], [0.5005, 0.5000, 0.8334], [0.5000, 0.2500, 0.0000], [0.5000, 0.7500, 0.0000], [0.9998, 0.2501, 0.1667], [0.9998, 0.7499, 0.1667], [0.4998, 0.2499, 0.3333], [0.4998, 0.7501, 0.3333], [0.0000, 0.2500, 0.5000], [0.0000, 0.7500, 0.5000], [0.5002, 0.2499, 0.6667], [0.5002, 0.7501, 0.6667], [0.0002, 0.2501, 0.8333], [0.0002, 0.7499, 0.8333]]}

***

{"formula": "ReTcNO", "functional": "GGA-PBE", "state": "optimized geometry", "e_tot_ev_per_atom": -8.8647, "m_tot_mub_per_atom": 0.2074, "crystal_system": "tetragonal", "de_polymorph_mev_per_atom": 642.5, "spacegroup": "No. 129", "cell": [[3.8577, 0.0000, 0.0000], [0.0000, 3.8577, 0.0000], [0.0000, 0.0000, 5.7970]], "species": ["N", "N", "O", "O", "Re", "Re", "Tc", "Tc"], "fractional_positions": [[0.0000, 0.5000, 0.3449], [0.5000, 0.0000, 0.6551], [0.0000, 0.0000, 0.0000], [0.5000, 0.5000, 0.0000], [0.0000, 0.0000, 0.5000], [0.5000, 0.5000, 0.5000], [0.5000, 0.0000, 0.1350], [0.0000, 0.5000, 0.8650]]}

***

What did the first record say?
{"formula": "ZrMoC2", "functional": "GGA-PBE", "state": "optimized geometry", "e_tot_ev_per_atom": -9.7175, "m_tot_mub_per_atom": 0.0020, "crystal_system": "tetragonal", "spacegroup": "No. 123", "cell": [[-2.2917, -1.7851, 1.3786], [1.3260, -2.6562, -1.2351], [2.5612, -0.4376, 3.6908]], "species": ["C", "C", "Mo", "Zr"], "fractional_positions": [[0.0000, 0.0000, 0.0000], [0.5000, 0.5000, 0.5000], [0.0000, 0.0000, 0.5000], [0.5000, 0.5000, 0.0000]]}